Compound: La4Tb3Y
Source: Alexandria
Functional: GGA-PBE
Structure: relaxed

Geometry as extended XYZ:
```
8
Lattice="12.5484 -1.7359 0.0000 12.5484 1.7359 0.0000 -0.2149 0.0000 6.3554" Properties=species:S:1:pos:R:3 pbc="T T T"
La 2.6345 0.0000 1.5520
La 6.8402 0.0000 4.7702
La 18.0416 0.0000 1.5851
La 22.2473 0.0000 4.8034
Tb -0.1074 0.0000 3.1777
Tb 3.3410 0.0000 4.7627
Tb 21.5409 0.0000 1.5927
Y 12.5484 0.0000 0.0000
```

Results
magnetization	0.00	μB/f.u.
calculated formation energy	224	meV per atom
ΔE to the lowest computed polymorph	0.192	eV per atom